No. 1
{"formula": "AlPCl4", "functional": "PBE-GGA", "state": "optimized geometry", "magmom_total_mub_per_fu": 4.24, "e_form_raw_ev_per_atom": 0.882, "vol_a3_per_cell": 151.2, "polymorph_energy_kcal_per_mol_atoms": 34.708, "rho_g_cm3": 2.19, "lattice_angstrom": [[-5.847, 0.284, 1.222], [-2.935, 5.174, -0.613], [-3.952, 0.688, -4.435]], "species": ["Cl", "Cl", "Cl", "Cl", "P", "Al"], "frac_coords": [[0.375, 0.375, 0.375], [0.375, 0.875, 0.375], [0.375, 0.375, 0.875], [0.875, 0.375, 0.375], [0.750, 0.750, 0.750], [0.000, 0.000, 0.000]]}

No. 2
{"formula": "AlPCl", "functional": "PBE-GGA", "state": "optimized geometry", "magmom_total_mub_per_fu": 0.00, "e_form_raw_ev_per_atom": 0.279, "vol_a3_per_cell": 61.5, "polymorph_energy_kcal_per_mol_atoms": 23.151, "rho_g_cm3": 2.52, "lattice_angstrom": [[4.430, 0.000, 0.000], [2.215, 3.837, 0.000], [2.215, 1.279, 3.617]], "species": ["Al", "P", "Cl"], "frac_coords": [[0.000, 0.000, 0.000], [0.250, 0.250, 0.250], [0.500, 0.500, 0.500]]}

No. 3
{"formula": "AlPCl", "functional": "PBE-GGA", "state": "optimized geometry", "magmom_total_mub_per_fu": 0.00, "e_form_raw_ev_per_atom": 0.119, "vol_a3_per_cell": 59.4, "polymorph_energy_kcal_per_mol_atoms": 19.462, "rho_g_cm3": 2.61, "lattice_angstrom": [[4.381, 0.000, 0.000], [2.190, 3.794, 0.000], [2.190, 1.265, 3.577]], "species": ["P", "Al", "Cl"], "frac_coords": [[0.500, 0.500, 0.500], [0.250, 0.250, 0.250], [0.000, 0.000, 0.000]]}

No. 4
{"formula": "AlPCl", "functional": "PBE-GGA", "state": "optimized geometry", "magmom_total_mub_per_fu": 0.00, "e_form_raw_ev_per_atom": -0.355, "vol_a3_per_cell": 76.2, "polymorph_energy_kcal_per_mol_atoms": 8.545, "rho_g_cm3": 2.03, "lattice_angstrom": [[7.696, 0.954, -0.184], [5.840, 5.102, 0.184], [-6.828, -2.893, 2.275]], "species": ["P", "Cl", "Al"], "frac_coords": [[0.568, 0.568, 0.000], [0.287, 0.287, 0.000], [0.145, 0.145, 0.000]]}

No. 5
{"formula": "AlP3Cl", "functional": "PBE-GGA", "state": "optimized geometry", "magmom_total_mub_per_fu": 0.00, "e_form_raw_ev_per_atom": 1.307, "vol_a3_per_cell": 96.0, "polymorph_energy_kcal_per_mol_atoms": 11.806, "rho_g_cm3": 2.69, "lattice_angstrom": [[4.579, 0.000, 0.000], [0.000, 4.579, 0.000], [0.000, 0.000, 4.579]], "species": ["P", "P", "P", "Cl", "Al"], "frac_coords": [[0.500, 0.000, 0.000], [0.000, 0.000, 0.500], [0.000, 0.500, 0.000], [0.000, 0.000, 0.000], [0.500, 0.500, 0.500]]}

No. 6
{"formula": "AlPCl6", "functional": "PBE-GGA", "state": "optimized geometry", "magmom_total_mub_per_fu": 0.00, "e_form_raw_ev_per_atom": -1.068, "vol_a3_per_cell": 599.8, "rho_g_cm3": 1.50, "lattice_angstrom": [[-0.600, -0.296, 13.030], [2.209, -6.355, -0.043], [6.768, 1.311, 0.342]], "species": ["Cl", "Cl", "Cl", "Cl", "Cl", "Cl", "Cl", "Cl", "Cl", "Cl", "Cl", "Cl", "P", "P", "Al", "Al"], "frac_coords": [[0.294, 0.749, 0.518], [0.481, 0.845, 0.150], [0.981, 0.155, 0.850], [0.129, 0.796, 0.032], [0.629, 0.204, 0.968], [0.434, 0.348, 0.364], [0.564, 0.698, 0.628], [0.230, 0.201, 0.841], [0.934, 0.652, 0.636], [0.064, 0.302, 0.372], [0.794, 0.251, 0.482], [0.730, 0.799, 0.159], [0.626, 0.006, 0.220], [0.126, 0.994, 0.780], [0.940, 0.361, 0.553], [0.440, 0.639, 0.447]]}

No. 7
{"formula": "AlPCl", "functional": "PBE-GGA", "state": "optimized geometry", "magmom_total_mub_per_fu": 0.00, "e_form_raw_ev_per_atom": -0.041, "vol_a3_per_cell": 65.1, "polymorph_energy_kcal_per_mol_atoms": 15.774, "rho_g_cm3": 2.38, "lattice_angstrom": [[-7.104, -1.508, -0.969], [-5.025, -2.863, -4.497], [6.351, 0.252, 3.644]], "species": ["Al", "Cl", "P"], "frac_coords": [[0.994, 0.994, 0.000], [0.615, 0.615, 0.000], [0.391, 0.391, 0.000]]}

No. 8
{"formula": "AlP3Cl", "functional": "PBE-GGA", "state": "optimized geometry", "magmom_total_mub_per_fu": 0.00, "e_form_raw_ev_per_atom": 0.795, "vol_a3_per_cell": 102.1, "polymorph_energy_kcal_per_mol_atoms": 0.000, "rho_g_cm3": 2.53, "lattice_angstrom": [[-0.781, 0.332, -4.596], [4.208, -1.848, -0.849], [-1.878, -4.280, 0.010]], "species": ["Cl", "P", "P", "P", "Al"], "frac_coords": [[0.500, 0.500, 0.500], [0.500, 0.000, 0.000], [0.000, 0.000, 0.500], [0.000, 0.500, 0.000], [0.000, 0.000, 0.000]]}

No. 9
{"formula": "AlPCl", "functional": "PBE-GGA", "state": "optimized geometry", "magmom_total_mub_per_fu": 0.00, "e_form_raw_ev_per_atom": -0.725, "vol_a3_per_cell": 163.6, "polymorph_energy_kcal_per_mol_atoms": 0.000, "rho_g_cm3": 1.90, "lattice_angstrom": [[3.795, -0.235, -0.390], [0.590, 6.775, 0.662], [-0.731, 3.841, 6.809]], "species": ["Al", "Al", "P", "P", "Cl", "Cl"], "frac_coords": [[0.525, 0.680, 0.574], [0.475, 0.320, 0.426], [0.057, 0.810, 0.653], [0.943, 0.190, 0.347], [0.622, 0.269, 0.753], [0.378, 0.731, 0.247]]}

No. 10
{"formula": "AlPPbCl2", "functional": "PBE-GGA", "state": "optimized geometry", "magmom_total_mub_per_fu": 1.15, "e_form_raw_ev_per_atom": 0.166, "vol_a3_per_cell": 163.2, "polymorph_energy_kcal_per_mol_atoms": 13.694, "rho_g_cm3": 3.42, "lattice_angstrom": [[-1.618, 1.766, 4.996], [-3.604, -3.902, 0.212], [3.738, -3.322, 2.386]], "species": ["Pb", "Al", "Cl", "Cl", "P"], "frac_coords": [[0.000, 0.000, 0.000], [0.500, 0.500, 0.500], [0.500, 0.000, 0.000], [0.000, 0.000, 0.500], [0.000, 0.500, 0.000]]}

No. 11
{"formula": "AlP2PbCl", "functional": "PBE-GGA", "state": "optimized geometry", "magmom_total_mub_per_fu": 0.00, "e_form_raw_ev_per_atom": 0.019, "vol_a3_per_cell": 110.2, "polymorph_energy_kcal_per_mol_atoms": 0.000, "rho_g_cm3": 5.00, "lattice_angstrom": [[-2.033, 0.122, -4.265], [2.924, -3.402, -1.491], [-3.243, -3.422, 1.448]], "species": ["P", "P", "Cl", "Pb", "Al"], "frac_coords": [[0.500, 0.000, 0.000], [0.000, 0.500, 0.000], [0.000, 0.000, 0.500], [0.500, 0.500, 0.500], [0.000, 0.000, 0.000]]}

No. 12
{"formula": "AlPPbCl2", "functional": "PBE-GGA", "state": "optimized geometry", "magmom_total_mub_per_fu": 0.00, "e_form_raw_ev_per_atom": -0.428, "vol_a3_per_cell": 121.9, "polymorph_energy_kcal_per_mol_atoms": 0.000, "rho_g_cm3": 4.58, "lattice_angstrom": [[4.880, 0.000, 0.000], [0.000, 4.880, 0.000], [0.000, 0.000, 5.119]], "species": ["Al", "Cl", "Cl", "Pb", "P"], "frac_coords": [[0.000, 0.000, 0.000], [0.500, 0.000, 0.000], [0.000, 0.500, 0.000], [0.500, 0.500, 0.500], [0.000, 0.000, 0.500]]}

No. 13
{"formula": "AlP2PbCl", "functional": "PBE-GGA", "state": "optimized geometry", "magmom_total_mub_per_fu": 1.97, "e_form_raw_ev_per_atom": 0.873, "vol_a3_per_cell": 175.4, "polymorph_energy_kcal_per_mol_atoms": 19.690, "rho_g_cm3": 3.14, "lattice_angstrom": [[5.576, 0.000, 0.000], [0.000, 5.576, 0.000], [0.000, 0.000, 5.640]], "species": ["P", "P", "Cl", "Pb", "Al"], "frac_coords": [[0.500, 0.000, 0.000], [0.000, 0.500, 0.000], [0.000, 0.000, 0.500], [0.000, 0.000, 0.000], [0.500, 0.500, 0.500]]}

No. 14
{"formula": "AlP2PtCl", "functional": "PBE-GGA", "state": "optimized geometry", "magmom_total_mub_per_fu": 0.00, "e_form_raw_ev_per_atom": 0.522, "vol_a3_per_cell": 113.9, "polymorph_energy_kcal_per_mol_atoms": 0.000, "rho_g_cm3": 4.66, "lattice_angstrom": [[-1.752, 4.022, 1.432], [-2.973, -2.261, 2.711], [3.550, 0.124, 3.996]], "species": ["Al", "P", "P", "Pt", "Cl"], "frac_coords": [[0.500, 0.500, 0.500], [0.000, 0.500, 0.000], [0.500, 0.000, 0.000], [0.000, 0.000, 0.000], [0.000, 0.000, 0.500]]}

| no. | total DFT energy (no corrections) (eV per atom) |
| --- | --- |
| 1 | -1.87 |
| 2 | -3.39 |
| 3 | -3.55 |
| 4 | -4.02 |
| 5 | -3.06 |
| 6 | -3.60 |
| 7 | -3.71 |
| 8 | -3.57 |
| 9 | -4.39 |
| 10 | -3.14 |
| 11 | -4.00 |
| 12 | -3.74 |
| 13 | -3.15 |
| 14 | -3.97 |